Entry 1:
Here is a geometry-optimized KTi3P structure from Alexandria. Energies are from PBE.

Cell: 4.792 4.792 4.792 Å, 90.00 90.00 90.00°
Atoms (fractional coordinates):
K 0.000 0.000 0.000
Ti 0.000 0.500 0.500
Ti 0.500 0.000 0.500
Ti 0.500 0.500 0.000
P 0.500 0.500 0.500

Values from the calculation:
Formation enthalpy at 0 K, eV per atom: 0.347
V, Å³ per cell: 110.1
Symmetry: No. 221
Calculated total energy, eV per atom: -5.691
ΔE to the lowest computed polymorph, eV/atom: 0.0000
Total moment, μB/f.u.: 0.0

Entry 2:
Here is a geometry-optimized CaCd2Rh structure from Alexandria. Energies are from PBE.

Cell: 10.802 10.802 10.802 Å, 157.62 157.62 31.86°
Atoms (fractional coordinates):
Ca 0.000 0.000 0.000
Ca 0.750 0.250 0.500
Cd 0.157 0.625 0.032
Cd 0.375 0.407 0.532
Cd 0.593 0.125 0.968
Cd 0.875 0.843 0.468
Rh 0.250 0.750 0.500
Rh 0.500 0.500 0.000

Values from the calculation:
Formation enthalpy at 0 K, eV per atom: -0.026
V, Å³ per cell: 182.6
Symmetry: No. 122
Calculated total energy, eV per atom: -2.822
Total moment, μB/f.u.: 0.0

Entry 3:
Here is a geometry-optimized In12Te3P5 structure from Alexandria. Energies are from PBE.

Cell: 14.772 14.772 14.772 Å, 109.47 109.47 109.47°
Atoms (fractional coordinates):
In 0.039 0.212 0.128
In 0.039 0.327 0.911
In 0.084 0.712 0.673
In 0.084 0.872 0.411
In 0.089 0.628 0.416
In 0.089 0.961 0.673
In 0.128 0.039 0.212
In 0.128 0.589 0.916
In 0.173 0.212 0.584
In 0.173 0.461 0.589
In 0.212 0.128 0.039
In 0.212 0.584 0.173
In 0.288 0.327 0.916
In 0.288 0.461 0.372
In 0.327 0.911 0.039
In 0.327 0.916 0.288
In 0.372 0.288 0.461
In 0.372 0.584 0.911
In 0.411 0.084 0.872
In 0.411 0.827 0.539
In 0.416 0.089 0.628
In 0.416 0.827 0.788
In 0.461 0.372 0.288
In 0.461 0.589 0.173
In 0.539 0.411 0.827
In 0.539 0.628 0.712
In 0.584 0.173 0.212
In 0.584 0.911 0.372
In 0.589 0.173 0.461
In 0.589 0.916 0.128
In 0.628 0.416 0.089
In 0.628 0.712 0.539
In 0.673 0.084 0.712
In 0.673 0.089 0.961
In 0.712 0.539 0.628
In 0.712 0.673 0.084
In 0.788 0.416 0.827
In 0.788 0.872 0.961
In 0.827 0.539 0.411
In 0.827 0.788 0.416
In 0.872 0.411 0.084
In 0.872 0.961 0.788
In 0.911 0.039 0.327
In 0.911 0.372 0.584
In 0.916 0.128 0.589
In 0.916 0.288 0.327
In 0.961 0.673 0.089
In 0.961 0.788 0.872
Te 0.125 0.250 0.375
Te 0.125 0.375 0.750
Te 0.250 0.375 0.125
Te 0.250 0.875 0.625
Te 0.375 0.125 0.250
Te 0.375 0.750 0.125
Te 0.625 0.250 0.875
Te 0.625 0.875 0.750
Te 0.750 0.125 0.375
Te 0.750 0.625 0.875
Te 0.875 0.625 0.250
Te 0.875 0.750 0.625
P 0.000 0.000 0.000
P 0.000 0.000 0.500
P 0.000 0.500 0.000
P 0.000 0.500 0.500
P 0.125 0.750 0.875
P 0.125 0.875 0.250
P 0.250 0.125 0.875
P 0.250 0.625 0.375
P 0.375 0.250 0.625
P 0.375 0.625 0.750
P 0.500 0.000 0.000
P 0.500 0.000 0.500
P 0.500 0.500 0.000
P 0.500 0.500 0.500
P 0.625 0.375 0.250
P 0.625 0.750 0.375
P 0.750 0.375 0.625
P 0.750 0.875 0.125
P 0.875 0.125 0.750
P 0.875 0.250 0.125

Values from the calculation:
V, Å³ per cell: 2481.3
Symmetry: No. 230
Calculated total energy, eV per atom: -3.384
Formation energy without anion corrections, eV per atom: 0.083
Total moment, μB/f.u.: 0.0

Entry 4:
Here is a geometry-optimized SrAlIn2Au5 structure from Alexandria. Energies are from PBE.

Cell: 8.224 8.224 8.224 Å, 144.92 136.35 57.18°
Atoms (fractional coordinates):
Sr 0.000 0.000 0.000
Al 0.500 0.500 0.000
In 0.307 0.807 0.500
In 0.693 0.193 0.500
Au 0.096 0.360 0.735
Au 0.375 0.640 0.735
Au 0.500 0.000 0.500
Au 0.625 0.360 0.265
Au 0.904 0.640 0.265

Values from the calculation:
Formation enthalpy at 0 K, eV per atom: -0.328
V, Å³ per cell: 218.9
Symmetry: No. 71
Calculated total energy, eV per atom: -3.360
Total moment, μB/f.u.: 0.0

Entry 5:
Here is a geometry-optimized Cs2As4Pd3 structure from Alexandria. Energies are from PBE.

Cell: 7.295 15.659 4.836 Å, 90.00 100.29 90.00°
Atoms (fractional coordinates):
Cs 0.178 0.121 0.024
Cs 0.178 0.379 0.524
Cs 0.822 0.621 0.476
Cs 0.822 0.879 0.976
As 0.200 0.568 0.082
As 0.200 0.932 0.582
As 0.390 0.642 0.800
As 0.390 0.858 0.300
As 0.610 0.142 0.700
As 0.610 0.358 0.200
As 0.800 0.068 0.418
As 0.800 0.432 0.918
Pd 0.341 0.701 0.322
Pd 0.341 0.799 0.822
Pd 0.500 0.000 0.500
Pd 0.500 0.500 0.000
Pd 0.659 0.201 0.178
Pd 0.659 0.299 0.678

Values from the calculation:
Formation enthalpy at 0 K, eV per atom: -0.407
V, Å³ per cell: 543.5
Symmetry: No. 14
Calculated total energy, eV per atom: -4.395
Total moment, μB/f.u.: 0.0

> What is the V in the fourth record?

218.9 Å³ per cell

> Which value of total moment does entry 2 give?

0.0 μB/f.u.